A geometry-optimized DyMgBr6 structure. Source: the Alexandria database, functional PBE.

Summary:
- Space-group type: No. 12
- Electronic total energy: -3.391 eV per atom
- Formation energy (no corrections): -1.36 eV/atom

a b c (Å): 6.897 6.943 7.712
angles (deg): 63.25 80.25 67.91
Last column: magnetic moment on the atom in μB.
Fractional positions:
Mg 0.500 0.500 0.000  0.00
Br 0.766 0.427 0.729  0.02
Br 0.689 0.815 0.000  0.32
Br 0.234 0.573 0.271  0.02
Br 0.766 0.156 0.271  0.02
Br 0.234 0.844 0.729  0.02
Br 0.311 0.185 0.000  0.32
Dy 0.000 0.000 0.000  -0.01